Density functional theory data (PBE) for Ca2CdGeRh after structural relaxation.

a b c (Å): 5.5002 5.5002 4.6884
angles (deg): 90.00 90.00 90.00
Last column: nearest neighbours and their distance in Å.
Fractional positions:
Ca 0.0000 0.5000 0.0000  2 Rh 2.75
Ca 0.5000 0.0000 0.0000  2 Rh 2.75
Ge 0.0000 0.0000 0.5000  2 Rh 2.34
Rh 0.0000 0.0000 0.0000  2 Ge 2.34
Cd 0.5000 0.5000 0.5000  8 Ca 3.61, 4 Ge 3.89

Computed properties:
energy above the most stable polymorph in this dataset = 0.0 meV per atom
N(E_F) = 0.38 states/eV/atom
total moment = 0.00 μB per formula unit
symmetry = P4/mmm (123)
E_form = -0.372 eV per atom